Computed, not measured: La8HoTm5 after structural relaxation at the PBE level of DFT.

a b c (Å): 8.642 8.682 8.631
angles (deg): 114.23 98.71 115.77
Atoms (fractional coordinates):
La: 0.205 0.733 0.082
La: 0.086 0.215 0.747
La: 0.652 0.223 0.315
La: 0.696 0.455 0.934
La: 0.478 0.543 0.240
La: 0.535 0.787 0.876
La: 0.347 0.265 0.469
La: 0.090 0.780 0.429
Ho: 0.095 0.504 0.585
Tm: 0.956 0.252 0.088
Tm: 0.862 0.961 0.277
Tm: 0.836 0.747 0.704
Tm: 0.597 0.996 0.601
Tm: 0.315 0.039 0.903

Computed, not measured: KCaZr2Au after structural relaxation at the PBE level of DFT.

a b c (Å): 5.180 5.180 5.481
angles (deg): 90.00 90.00 90.00
Atoms (fractional coordinates):
Ca: 0.000 0.000 0.000
Au: 0.500 0.500 0.500
K: 0.000 0.000 0.500
Zr: 0.000 0.500 0.000
Zr: 0.500 0.000 0.000

Computed, not measured: CeTh2Ru after structural relaxation at the PBE level of DFT.

Energy relative to the lowest polymorph listed for this composition, kJ/mol of atoms: 23.3

a b c (Å): 4.431 4.431 7.167
angles (deg): 71.96 71.96 59.94
Each line ends with the local moment (μB).
Atoms (fractional coordinates):
Ce: 0.492 0.492 0.523  0.60
Th: 0.066 0.066 0.803  0.04
Th: 0.271 0.271 0.188  0.03
Ru: 0.671 0.671 0.986  0.00

Computed, not measured: Pr5Ho4Mg after structural relaxation at the PBE level of DFT.

a b c (Å): 3.650 3.650 24.694
angles (deg): 90.00 90.00 90.00
Atoms (fractional coordinates):
Pr: 0.500 0.500 0.091
Pr: 0.500 0.500 0.296
Pr: 0.500 0.500 0.500
Pr: 0.500 0.500 0.704
Pr: 0.500 0.500 0.909
Ho: 0.000 0.000 0.193
Ho: 0.000 0.000 0.398
Ho: 0.000 0.000 0.602
Ho: 0.000 0.000 0.807
Mg: 0.000 0.000 0.000

Computed, not measured: K2NaSn after structural relaxation at the PBE level of DFT.

a b c (Å): 6.963 10.250 11.601
angles (deg): 116.38 90.00 90.00
Atoms (fractional coordinates):
K: 0.750 0.078 0.157
K: 0.250 0.422 0.843
K: 0.250 0.922 0.843
K: 0.750 0.578 0.157
K: 0.774 0.634 0.767
K: 0.274 0.866 0.233
K: 0.226 0.366 0.233
K: 0.726 0.134 0.767
Na: 0.500 0.213 0.500
Na: 0.000 0.287 0.500
Na: 0.500 0.787 0.500
Na: 0.000 0.713 0.500
Sn: 0.670 0.456 0.412
Sn: 0.170 0.044 0.588
Sn: 0.330 0.544 0.588
Sn: 0.830 0.956 0.412

no.,total DFT energy (no corrections) (eV per formula unit),energy relative to the elements (eV/atom),N(E_F) (states/eV per atom)
1,-64.048,0.16,1.4809
2,-15.767,1.54,0.5499
3,-30.147,-0.02,2.0226
4,-43.810,0.00,1.3390
5,-7.941,-0.11,0.6463